Record 1
Density functional theory data (GGA-PBE) for a relaxed structure of ZrTi3Ir4.

Output
N(E_F), states/eV per atom: 0.923
Formation energy, eV per atom: -0.832

POSCAR file:
```
ZrTi3Ir4
1.0
4.2155 0.0000 0.0000
0.0000 7.1261 0.0000
0.0000 0.0000 8.4285
Ir Zr Ti
8 2 6
direct
0.5000 0.7727 0.0000 Ir
0.5000 0.7727 0.5000 Ir
0.5000 0.2273 0.0000 Ir
0.5000 0.2273 0.5000 Ir
0.0000 0.7727 0.7500 Ir
0.0000 0.7727 0.2500 Ir
0.0000 0.2273 0.2500 Ir
0.0000 0.2273 0.7500 Ir
0.0000 0.5000 0.0000 Zr
0.0000 0.5000 0.5000 Zr
0.0000 0.0000 0.0000 Ti
0.0000 0.0000 0.5000 Ti
0.5000 0.0000 0.7500 Ti
0.5000 0.0000 0.2500 Ti
0.5000 0.5000 0.7500 Ti
0.5000 0.5000 0.2500 Ti
```


Record 2
Density functional theory data (GGA-PBE) for a relaxed structure of DyErTlRu.

Output
N(E_F), states/eV per atom: 0.568
Formation energy, eV per atom: -0.264

POSCAR file:
```
DyErTlRu
1.0
-0.7087 2.0112 -4.5880
-0.1398 -2.9902 -4.0787
-4.3681 -0.7455 -2.4416
Ru Tl Dy Er
1 1 1 1
direct
0.7500 0.7500 0.7500 Ru
0.2500 0.2500 0.2500 Tl
0.5000 0.5000 0.5000 Dy
0.0000 0.0000 0.0000 Er
```


Record 3
Density functional theory data (GGA-PBE) for a relaxed structure of La6Al3S14.

Output
N(E_F), states/eV per atom: 0.490
Uncorrected formation energy, eV/atom: -1.79

POSCAR file:
```
La6Al3S14
1.0
-3.2580 -0.5296 -4.9430
5.2568 -8.4240 -2.5623
-8.4978 -0.7903 5.6857
La Al S
6 3 14
direct
0.2518 0.8003 0.0973 La
0.2518 0.9027 0.7030 La
0.2518 0.2970 0.1997 La
0.7484 0.5326 0.5668 La
0.7484 0.4332 0.9657 La
0.7484 0.0343 0.4674 La
0.8312 0.0000 0.0000 Al
0.3319 0.3333 0.6667 Al
0.4845 0.6667 0.3333 Al
0.9777 0.0805 0.2318 S
0.9777 0.7682 0.8487 S
0.9777 0.1513 0.9195 S
0.4788 0.2496 0.4349 S
0.4788 0.5651 0.8147 S
0.4788 0.1853 0.7504 S
0.4579 0.0000 0.0000 S
0.9580 0.3333 0.6667 S
0.7122 0.7518 0.1875 S
0.7122 0.8125 0.5643 S
0.7122 0.4357 0.2482 S
0.2575 0.5842 0.4824 S
0.2575 0.5176 0.1018 S
0.2575 0.8982 0.4158 S
```


Record 4
Density functional theory data (GGA-PBE) for a relaxed structure of Sm8P3CSe4.

Output
N(E_F), states/eV per atom: 0.253
Uncorrected formation energy, eV/atom: -1.60

POSCAR file:
```
Sm8P3CSe4
1.0
8.1413 0.0000 0.0000
0.0000 8.2778 0.0891
-4.0707 -4.0664 5.7600
Sm P C Se
8 3 1 4
direct
0.2308 0.7201 0.9894 Sm
0.2309 0.7202 0.4618 Sm
0.2562 0.2687 0.5124 Sm
0.7587 0.7201 0.9894 Sm
0.2413 0.2799 0.0106 Sm
0.7438 0.7313 0.4876 Sm
0.7691 0.2798 0.5382 Sm
0.7692 0.2799 0.0106 Sm
0.5000 0.5000 0.0000 P
0.5000 0.5000 0.5000 P
0.0000 0.5000 0.5000 P
0.0000 0.5000 0.0000 C
0.5000 0.0000 0.0000 Se
0.5000 0.0000 0.5000 Se
0.0000 0.0000 0.0000 Se
0.0000 0.0000 0.5000 Se
```


Record 5
Density functional theory data (GGA-PBE) for a relaxed structure of ThMgSc2Cu4.

Output
N(E_F), states/eV per atom: 0.654
Formation energy, eV per atom: -0.160

POSCAR file:
```
ThMgSc2Cu4
1.0
4.5945 0.0000 0.0000
2.2972 3.9789 0.0000
2.2972 1.3263 8.1926
Th Mg Sc Cu
1 1 2 4
direct
0.0000 0.0000 0.0000 Th
0.5000 0.5000 0.5000 Mg
0.7608 0.7608 0.7176 Sc
0.2392 0.2392 0.2824 Sc
0.3937 0.3937 0.8189 Cu
0.8785 0.8785 0.3645 Cu
0.1215 0.1215 0.6355 Cu
0.6063 0.6063 0.1811 Cu
```


Record 6
Density functional theory data (GGA-PBE) for a relaxed structure of TlSb2Rh.

Output
N(E_F), states/eV per atom: 0.648
Energy above the lowest structure with this stoichiometry, kJ/mol of formula units: 69
Uncorrected formation energy, eV/atom: -0.01

POSCAR file:
```
TlSb2Rh
1.0
6.3742 -1.3715 -1.1878
3.6344 -4.5792 3.1217
-5.1431 1.8359 -3.7551
Tl Sb Rh
1 2 1
direct
0.0000 0.5000 0.5000 Tl
0.6894 0.6894 0.0000 Sb
0.3106 0.3106 0.0000 Sb
0.5000 0.0000 0.5000 Rh
```


| no. | ρ (g/cm3) |
| --- | --- |
| 1 | 13.17 |
| 2 | 11.52 |
| 3 | 4.18 |
| 4 | 6.89 |
| 5 | 6.66 |
| 6 | 9.49 |